Record 1
Computed, not measured: an optimized crystal structure of NaPAuS2 at the PBE level of DFT.

Calculated values
Formation energy without anion corrections = 0.386 eV/atom
Size of the total moment = 0.000 Bohr magnetons per cell
D(E_F) = 3.2 states/eV/cell
Raw total energy = -3.266 eV/atom

Unit cell a=5.1360 b=5.1360 c=4.5997 alpha=90.00 beta=90.00 gamma=90.00
Space group P4/mmm (No. 123)
Unique sites:
Na1 0.0000 0.0000 0.0000 (multiplicity 1)
P1 0.5000 0.5000 0.0000 (multiplicity 1)
Au1 0.5000 0.5000 0.5000 (multiplicity 1)
S1 0.0000 0.5000 0.5000 (multiplicity 2)

***

Record 2
Computed, not measured: an optimized crystal structure of Pm2FeSi at the PBE level of DFT.

Calculated values
Formation energy without anion corrections = -0.209 eV/atom
Size of the total moment = 0.000 Bohr magnetons per cell
D(E_F) = 8.6 states/eV/cell
Raw total energy = -6.056 eV/atom

Unit cell a=4.3661 b=4.4039 c=9.5578 alpha=90.00 beta=90.00 gamma=90.00
Space group Immm (No. 71)
Unique sites:
Pm1 0.0000 0.0000 0.1711 (multiplicity 4)
Fe1 0.0000 0.5000 0.5000 (multiplicity 2)
Si1 0.0000 0.0000 0.5000 (multiplicity 2)

***

Record 3
Computed, not measured: an optimized crystal structure of ZrZn3Rh at the PBE level of DFT.

Calculated values
ΔH_f (0 K) = 64 meV per atom
Size of the total moment = 0.000 Bohr magnetons per cell
D(E_F) = 11.2 states/eV/cell
Raw total energy = -3.880 eV/atom

Unit cell a=4.8787 b=4.8787 c=17.2781 alpha=90.00 beta=90.00 gamma=90.00
Space group I-4m2 (No. 119)
Unique sites:
Zr1 0.0000 0.0000 0.1902 (multiplicity 4)
Zn1 0.0000 0.2469 0.6228 (multiplicity 8)
Zn2 0.0000 0.5000 0.0513 (multiplicity 4)
Rh1 0.0000 0.0000 0.5000 (multiplicity 2)
Rh2 0.0000 0.5000 0.7500 (multiplicity 2)

***

Record 4
Computed, not measured: an optimized crystal structure of AsP2H at the PBE level of DFT.

Calculated values
Size of the total moment = 0.000 Bohr magnetons per cell
D(E_F) = 4.0 states/eV/cell
Raw total energy = -4.146 eV/atom

Unit cell a=5.0226 b=5.0226 c=10.0385 alpha=90.00 beta=90.00 gamma=90.00
Space group I-42d (No. 122)
Unique sites:
As1 0.0000 0.0000 0.0000 (multiplicity 4)
P1 0.1794 0.2500 0.6250 (multiplicity 8)
H1 0.0000 0.0000 0.5000 (multiplicity 4)

***

Record 5
Computed, not measured: an optimized crystal structure of LaMg2ScGe at the PBE level of DFT.

Calculated values
ΔH_f (0 K) = 161 meV per atom
Size of the total moment = 0.800 Bohr magnetons per cell
D(E_F) = 5.2 states/eV/cell
Raw total energy = -3.652 eV/atom

Unit cell a=5.0770 b=5.0770 c=5.7894 alpha=90.00 beta=90.00 gamma=90.00
Space group P4/mmm (No. 123)
Unique sites:
La1 0.0000 0.0000 0.0000 (multiplicity 1)
Mg1 0.0000 0.5000 0.5000 (multiplicity 2)
Sc1 0.5000 0.5000 0.0000 (multiplicity 1)
Ge1 0.0000 0.0000 0.5000 (multiplicity 1)

***

Record 6
Computed, not measured: an optimized crystal structure of Sc4GaSnN at the PBE level of DFT.

Calculated values
Formation energy without anion corrections = -0.974 eV/atom
Size of the total moment = 0.000 Bohr magnetons per cell
D(E_F) = 4.7 states/eV/cell
Raw total energy = -6.785 eV/atom

Unit cell a=6.1321 b=14.7738 c=6.1371 alpha=90.00 beta=90.00 gamma=90.00
Space group Cmcm (No. 63)
Unique sites:
Sc1 0.0000 0.0880 0.2500 (multiplicity 4)
Sc2 0.0000 0.4046 0.2500 (multiplicity 4)
Sc3 0.2500 0.2500 0.0000 (multiplicity 8)
Ga1 0.0000 0.1130 0.7500 (multiplicity 4)
Sn1 0.0000 0.3954 0.7500 (multiplicity 4)
N1 0.0000 0.2486 0.2500 (multiplicity 4)

***

Record 7
Computed, not measured: an optimized crystal structure of Si2Os2Pt at the PBE level of DFT.

Calculated values
Formation energy without anion corrections = -0.127 eV/atom
Size of the total moment = 0.000 Bohr magnetons per cell
D(E_F) = 6.1 states/eV/cell
Raw total energy = -7.996 eV/atom

Unit cell a=7.0959 b=7.0959 c=2.8277 alpha=90.00 beta=90.00 gamma=90.00
Space group P4/mbm (No. 127)
Unique sites:
Si1 0.1545 0.3455 0.0000 (multiplicity 4)
Os1 0.1431 0.6431 0.5000 (multiplicity 4)
Pt1 0.0000 0.0000 0.5000 (multiplicity 2)

***

Record 8
Computed, not measured: an optimized crystal structure of RbSc2B2S6 at the PBE level of DFT.

Calculated values
Formation energy without anion corrections = -1.046 eV/atom
Size of the total moment = 0.731 Bohr magnetons per cell
D(E_F) = 3.7 states/eV/cell
Raw total energy = -5.750 eV/atom

Unit cell a=6.6204 b=7.1385 c=7.7427 alpha=101.37 beta=95.67 gamma=116.72
Space group P-1 (No. 2)
Unique sites:
Rb1 0.0000 0.0000 0.0000 (multiplicity 1)
Sc1 0.4148 0.7239 0.4432 (multiplicity 2)
B1 0.0472 0.7719 0.4889 (multiplicity 2)
S1 0.0623 0.6847 0.2571 (multiplicity 2)
S2 0.2306 0.3180 0.4361 (multiplicity 2)
S3 0.3123 0.9475 0.6725 (multiplicity 2)

***

Record 9
Computed, not measured: an optimized crystal structure of Mg5Bi at the PBE level of DFT.

Calculated values
ΔH_f (0 K) = -29 meV per atom
Size of the total moment = 0.000 Bohr magnetons per cell
D(E_F) = 5.6 states/eV/cell
Raw total energy = -2.004 eV/atom

Unit cell a=12.0307 b=3.2365 c=7.9331 alpha=90.00 beta=107.25 gamma=90.00
Space group Cm (No. 8)
Unique sites:
Mg1 0.0000 0.0000 0.0000 (multiplicity 2)
Mg2 0.0536 0.0000 0.6311 (multiplicity 2)
Mg3 0.1578 0.5000 0.3440 (multiplicity 2)
Mg4 0.2155 0.5000 0.9480 (multiplicity 2)
Mg5 0.3240 0.0000 0.6818 (multiplicity 2)
Bi1 0.3844 0.0000 0.2944 (multiplicity 2)

***

Record 10
Computed, not measured: an optimized crystal structure of Dy12YHo6 at the PBE level of DFT.

Calculated values
ΔH_f (0 K) = 447 meV per atom
Size of the total moment = 0.000 Bohr magnetons per cell
D(E_F) = 72.7 states/eV/cell
Raw total energy = -4.246 eV/atom

Unit cell a=15.0707 b=15.0707 c=9.9141 alpha=90.00 beta=90.00 gamma=120.00
Space group R-3m (No. 166, hexagonal axes)
Unique sites:
Dy1 0.0000 0.3897 0.0000 (multiplicity 18)
Dy2 0.0717 0.1435 0.7921 (multiplicity 18)
Y1 0.0000 0.0000 0.5000 (multiplicity 3)
Ho1 0.0518 0.5259 0.7084 (multiplicity 18)

***

Record 11
Computed, not measured: an optimized crystal structure of InP at the PBE level of DFT.

Calculated values
ΔH_f (0 K) = 91 meV per atom
Size of the total moment = 0.000 Bohr magnetons per cell
D(E_F) = 1.5 states/eV/cell
Raw total energy = -3.984 eV/atom

Unit cell a=3.8717 b=3.8717 c=6.6264 alpha=90.00 beta=90.00 gamma=120.00
Space group P6_3/mmc (No. 194)
Unique sites:
In1 0.0000 0.0000 0.0000 (multiplicity 2)
P1 0.3333 0.6667 0.2500 (multiplicity 2)

***

Record 12
Computed, not measured: an optimized crystal structure of SrScMn2Ni at the PBE level of DFT.

Calculated values
ΔH_f (0 K) = 760 meV per atom
Size of the total moment = 7.122 Bohr magnetons per cell
D(E_F) = 6.7 states/eV/cell
Raw total energy = -5.666 eV/atom

Unit cell a=5.0008 b=5.0008 c=4.7135 alpha=90.00 beta=90.00 gamma=90.00
Space group P4/mmm (No. 123)
Unique sites:
Sr1 0.0000 0.0000 0.0000 (multiplicity 1)
Sc1 0.5000 0.5000 0.5000 (multiplicity 1)
Mn1 0.0000 0.5000 0.5000 (multiplicity 2)
Ni1 0.5000 0.5000 0.0000 (multiplicity 1)

***

Record 13
Computed, not measured: an optimized crystal structure of NaLiScIn at the PBE level of DFT.

Calculated values
ΔH_f (0 K) = -90 meV per atom
Size of the total moment = 0.000 Bohr magnetons per cell
D(E_F) = 10.9 states/eV/cell
Raw total energy = -3.165 eV/atom

Unit cell a=7.0803 b=7.0803 c=7.0803 alpha=90.00 beta=90.00 gamma=90.00
Space group F-43m (No. 216)
Unique sites:
Na1 0.0000 0.0000 0.0000 (multiplicity 4)
Li1 0.2500 0.2500 0.2500 (multiplicity 4)
Sc1 0.2500 0.2500 0.7500 (multiplicity 4)
In1 0.0000 0.0000 0.5000 (multiplicity 4)

***

Record 14
Computed, not measured: an optimized crystal structure of Ho3Pa at the PBE level of DFT.

Calculated values
ΔH_f (0 K) = 206 meV per atom
Size of the total moment = 0.000 Bohr magnetons per cell
D(E_F) = 5.0 states/eV/cell
Raw total energy = -5.601 eV/atom

Unit cell a=4.8864 b=4.8864 c=4.8864 alpha=90.00 beta=90.00 gamma=90.00
Space group Pm-3m (No. 221)
Unique sites:
Ho1 0.0000 0.0000 0.5000 (multiplicity 3)
Pa1 0.5000 0.5000 0.5000 (multiplicity 1)

***

Record 15
Computed, not measured: an optimized crystal structure of Mn2NbAu at the PBE level of DFT.

Calculated values
ΔH_f (0 K) = -1 meV per atom
Size of the total moment = 3.941 Bohr magnetons per cell
D(E_F) = 2.4 states/eV/cell
Raw total energy = -7.922 eV/atom

Unit cell a=4.1424 b=4.1424 c=3.5152 alpha=90.00 beta=90.00 gamma=90.00
Space group P4/mmm (No. 123)
Unique sites:
Mn1 0.0000 0.5000 0.0000 (multiplicity 2)
Nb1 0.0000 0.0000 0.5000 (multiplicity 1)
Au1 0.5000 0.5000 0.5000 (multiplicity 1)

***

Record 16
Computed, not measured: an optimized crystal structure of TbSm2PaRu2 at the PBE level of DFT.

Calculated values
ΔH_f (0 K) = -288 meV per atom
Size of the total moment = 0.000 Bohr magnetons per cell
D(E_F) = 26.6 states/eV/cell
Raw total energy = -7.307 eV/atom

Unit cell a=6.9110 b=13.5775 c=6.7992 alpha=90.00 beta=90.00 gamma=90.00
Space group Ibam (No. 72)
Unique sites:
Tb1 0.0000 0.0000 0.2500 (multiplicity 4)
Sm1 0.2147 0.3060 0.0000 (multiplicity 8)
Pa1 0.0000 0.5000 0.2500 (multiplicity 4)
Ru1 0.2086 0.4012 0.5000 (multiplicity 8)

***

Record 17
Computed, not measured: an optimized crystal structure of Zn2CuAu2 at the PBE level of DFT.

Calculated values
ΔH_f (0 K) = -45 meV per atom
Size of the total moment = 0.000 Bohr magnetons per cell
D(E_F) = 3.1 states/eV/cell
Raw total energy = -2.685 eV/atom

Unit cell a=7.0687 b=7.0687 c=3.2494 alpha=90.00 beta=90.00 gamma=90.00
Space group P4/mbm (No. 127)
Unique sites:
Zn1 0.1362 0.3638 0.0000 (multiplicity 4)
Cu1 0.0000 0.0000 0.0000 (multiplicity 2)
Au1 0.1641 0.6641 0.5000 (multiplicity 4)

***

Record 18
Computed, not measured: an optimized crystal structure of CaYN3 at the PBE level of DFT.

Calculated values
Formation energy without anion corrections = 0.823 eV/atom
Size of the total moment = 0.330 Bohr magnetons per cell
D(E_F) = 3.4 states/eV/cell
Raw total energy = -5.865 eV/atom

Unit cell a=4.1621 b=4.1621 c=4.1621 alpha=90.00 beta=90.00 gamma=90.00
Space group Pm-3m (No. 221)
Unique sites:
Ca1 0.0000 0.0000 0.0000 (multiplicity 1)
Y1 0.5000 0.5000 0.5000 (multiplicity 1)
N1 0.0000 0.0000 0.5000 (multiplicity 3)

***

Record 19
Computed, not measured: an optimized crystal structure of FeSbPb at the PBE level of DFT.

Calculated values
Formation energy without anion corrections = 0.289 eV/atom
Size of the total moment = 1.621 Bohr magnetons per cell
D(E_F) = 2.1 states/eV/cell
Raw total energy = -5.143 eV/atom

Unit cell a=3.4931 b=3.4931 c=6.4244 alpha=90.00 beta=90.00 gamma=120.00
Space group P3m1 (No. 156)
Unique sites:
Fe1 0.0000 0.0000 0.0000 (multiplicity 1)
Sb1 0.3333 0.6667 0.7501 (multiplicity 1)
Pb1 0.6667 0.3333 0.3064 (multiplicity 1)

***

Record 20
Computed, not measured: an optimized crystal structure of Cr2InRe at the PBE level of DFT.

Calculated values
ΔH_f (0 K) = 401 meV per atom
Size of the total moment = 2.596 Bohr magnetons per cell
D(E_F) = 3.2 states/eV/cell
Raw total energy = -8.208 eV/atom

Unit cell a=4.3353 b=4.3353 c=3.1540 alpha=90.00 beta=90.00 gamma=90.00
Space group P4/mmm (No. 123)
Unique sites:
Cr1 0.0000 0.5000 0.0000 (multiplicity 2)
In1 0.0000 0.0000 0.5000 (multiplicity 1)
Re1 0.5000 0.5000 0.5000 (multiplicity 1)

***

Record 21
Computed, not measured: an optimized crystal structure of Tl2Sn2Pd at the PBE level of DFT.

Calculated values
ΔH_f (0 K) = -94 meV per atom
Size of the total moment = 0.000 Bohr magnetons per cell
D(E_F) = 2.3 states/eV/cell
Raw total energy = -3.680 eV/atom

Unit cell a=7.0622 b=7.0622 c=5.3818 alpha=90.00 beta=90.00 gamma=90.00
Space group P4/mbm (No. 127)
Unique sites:
Tl1 0.1709 0.3291 0.0000 (multiplicity 4)
Sn1 0.1513 0.6513 0.5000 (multiplicity 4)
Pd1 0.0000 0.0000 0.5000 (multiplicity 2)

***

Record 22
Computed, not measured: an optimized crystal structure of Dy2InCu9 at the PBE level of DFT.

Calculated values
ΔH_f (0 K) = -122 meV per atom
Size of the total moment = 0.000 Bohr magnetons per cell
D(E_F) = 13.6 states/eV/cell
Raw total energy = -4.190 eV/atom

Unit cell a=5.0970 b=5.0970 c=24.8721 alpha=90.00 beta=90.00 gamma=120.00
Space group R-3m (No. 166, hexagonal axes)
Unique sites:
Dy1 0.0000 0.0000 0.1363 (multiplicity 6)
In1 0.0000 0.0000 0.0000 (multiplicity 3)
Cu1 0.0000 0.0000 0.3329 (multiplicity 6)
Cu2 0.0000 0.0000 0.5000 (multiplicity 3)
Cu3 0.0022 0.5011 0.9178 (multiplicity 18)

***

Record 23
Computed, not measured: an optimized crystal structure of Li5Mg2Ag at the PBE level of DFT.

Calculated values
ΔH_f (0 K) = -102 meV per atom
Size of the total moment = 0.000 Bohr magnetons per cell
D(E_F) = 6.3 states/eV/cell
Raw total energy = -2.054 eV/atom

Unit cell a=6.0428 b=12.0806 c=4.1175 alpha=90.00 beta=90.00 gamma=90.00
Space group Pbam (No. 55)
Unique sites:
Li1 0.0000 0.0000 0.0000 (multiplicity 2)
Li2 0.0117 0.2556 0.0000 (multiplicity 4)
Li3 0.2483 0.8766 0.5000 (multiplicity 4)
Mg1 0.2396 0.6194 0.5000 (multiplicity 4)
Ag1 0.0000 0.5000 0.0000 (multiplicity 2)

***

Record 24
Computed, not measured: an optimized crystal structure of NaSrZn3 at the PBE level of DFT.

Calculated values
ΔH_f (0 K) = 297 meV per atom
Size of the total moment = 0.000 Bohr magnetons per cell
D(E_F) = 3.6 states/eV/cell
Raw total energy = -1.067 eV/atom

Unit cell a=5.2185 b=5.2185 c=5.2185 alpha=90.00 beta=90.00 gamma=90.00
Space group Pm-3m (No. 221)
Unique sites:
Na1 0.0000 0.0000 0.0000 (multiplicity 1)
Sr1 0.5000 0.5000 0.5000 (multiplicity 1)
Zn1 0.0000 0.0000 0.5000 (multiplicity 3)

***

Record 25
Computed, not measured: an optimized crystal structure of LiAl2Sn2 at the PBE level of DFT.

Calculated values
ΔH_f (0 K) = 37 meV per atom
Size of the total moment = 0.000 Bohr magnetons per cell
D(E_F) = 3.8 states/eV/cell
Raw total energy = -3.444 eV/atom

Unit cell a=4.0672 b=4.0672 c=14.5501 alpha=90.00 beta=90.00 gamma=90.00
Space group I4/mmm (No. 139)
Unique sites:
Li1 0.0000 0.0000 0.0000 (multiplicity 2)
Al1 0.0000 0.5000 0.2500 (multiplicity 4)
Sn1 0.0000 0.0000 0.3879 (multiplicity 4)